Record 1
# LiPa4CuN8, optimized geometry, DFT PBE
# * electronic total energy: -8.986 eV per atom
# * ΔE_f (raw): -15.20 eV per formula unit
# * total magnetic moment: 0.00 μB per formula unit
data_LiPa4CuN8
_chemical_formula_sum 'Li1 Pa4 Cu1 N8'
_cell_length_a 6.052
_cell_length_b 6.052
_cell_length_c 6.052
_cell_angle_alpha 72.64
_cell_angle_beta 72.64
_cell_angle_gamma 72.64
_symmetry_space_group_name_H-M 'P 1'
_symmetry_Int_Tables_number 1
loop_
_symmetry_equiv_pos_as_xyz
'x,y,z'
loop_
_atom_site_label
_atom_site_fract_x
_atom_site_fract_y
_atom_site_fract_z
_atom_site_occupancy
Li1 0.000 0.000 0.000 1
Pa1 0.001 0.001 0.508 1
Pa2 0.001 0.508 0.001 1
Pa3 0.508 0.001 0.001 1
Pa4 0.581 0.581 0.581 1
Cu1 0.376 0.376 0.376 1
N1 0.225 0.785 0.785 1
N2 0.233 0.233 0.233 1
N3 0.312 0.312 0.751 1
N4 0.312 0.751 0.312 1
N5 0.751 0.312 0.312 1
N6 0.759 0.759 0.759 1
N7 0.785 0.225 0.785 1
N8 0.785 0.785 0.225 1



Record 2
# Li2PaCuN4, optimized geometry, DFT PBE
# * electronic total energy: -6.421 eV per atom
# * ΔE_f (raw): -0.64 eV per formula unit
# * total magnetic moment: 0.00 μB per formula unit
data_Li2PaCuN4
_chemical_formula_sum 'Li2 Pa1 Cu1 N4'
_cell_length_a 4.919
_cell_length_b 4.919
_cell_length_c 4.919
_cell_angle_alpha 111.61
_cell_angle_beta 111.61
_cell_angle_gamma 105.28
_symmetry_space_group_name_H-M 'P 1'
_symmetry_Int_Tables_number 1
loop_
_symmetry_equiv_pos_as_xyz
'x,y,z'
loop_
_atom_site_label
_atom_site_fract_x
_atom_site_fract_y
_atom_site_fract_z
_atom_site_occupancy
Li1 0.250 0.750 0.500 1
Li2 0.750 0.250 0.500 1
Pa1 0.000 0.000 0.000 1
Cu1 0.500 0.500 0.000 1
N1 0.105 0.469 0.000 1
N2 0.469 0.105 0.000 1
N3 0.531 0.531 0.636 1
N4 0.895 0.895 0.364 1



Record 3
# LiPa2CuN4, optimized geometry, DFT PBE
# * electronic total energy: -8.292 eV per atom
# * ΔE_f (raw): -8.03 eV per formula unit
# * total magnetic moment: 0.00 μB per formula unit
data_LiPa2CuN4
_chemical_formula_sum 'Li1 Pa2 Cu1 N4'
_cell_length_a 5.518
_cell_length_b 4.960
_cell_length_c 5.518
_cell_angle_alpha 63.29
_cell_angle_beta 53.41
_cell_angle_gamma 63.30
_symmetry_space_group_name_H-M 'P 1'
_symmetry_Int_Tables_number 1
loop_
_symmetry_equiv_pos_as_xyz
'x,y,z'
loop_
_atom_site_label
_atom_site_fract_x
_atom_site_fract_y
_atom_site_fract_z
_atom_site_occupancy
Li1 0.000 0.000 0.000 1
Pa1 0.259 0.259 0.241 1
Pa2 0.759 0.759 0.741 1
Cu1 0.480 0.480 0.520 1
N1 0.034 0.522 0.966 1
N2 0.262 0.755 0.245 1
N3 0.522 0.034 0.478 1
N4 0.755 0.262 0.738 1



Record 4
# LiCuPb2N, optimized geometry, DFT PBE
# * electronic total energy: -3.665 eV per atom
# * energy above the most stable polymorph in this dataset: 130 kJ/mol of formula units
# * ΔE_f (raw): 3.43 eV per formula unit
# * total magnetic moment: 0.00 μB per formula unit
data_LiCuPb2N
_chemical_formula_sum 'Li1 Cu1 Pb2 N1'
_cell_length_a 5.211
_cell_length_b 5.211
_cell_length_c 3.477
_cell_angle_alpha 90.00
_cell_angle_beta 90.00
_cell_angle_gamma 90.00
_symmetry_space_group_name_H-M 'P 1'
_symmetry_Int_Tables_number 1
loop_
_symmetry_equiv_pos_as_xyz
'x,y,z'
loop_
_atom_site_label
_atom_site_fract_x
_atom_site_fract_y
_atom_site_fract_z
_atom_site_occupancy
Li1 0.000 0.000 0.000 1
Cu1 0.500 0.500 0.500 1
Pb1 0.000 0.500 0.000 1
Pb2 0.500 0.000 0.000 1
N1 0.000 0.000 0.500 1



Record 5
# LiCuPb2N, optimized geometry, DFT PBE
# * electronic total energy: -3.935 eV per atom
# * energy above the most stable polymorph in this dataset: 0 kJ/mol of formula units
# * ΔE_f (raw): 2.08 eV per formula unit
# * total magnetic moment: 0.00 μB per formula unit
data_LiCuPb2N
_chemical_formula_sum 'Li1 Cu1 Pb2 N1'
_cell_length_a 5.609
_cell_length_b 5.609
_cell_length_c 3.451
_cell_angle_alpha 90.00
_cell_angle_beta 90.00
_cell_angle_gamma 90.00
_symmetry_space_group_name_H-M 'P 1'
_symmetry_Int_Tables_number 1
loop_
_symmetry_equiv_pos_as_xyz
'x,y,z'
loop_
_atom_site_label
_atom_site_fract_x
_atom_site_fract_y
_atom_site_fract_z
_atom_site_occupancy
Li1 0.000 0.000 0.000 1
Cu1 0.500 0.500 0.500 1
Pb1 0.000 0.500 0.500 1
Pb2 0.500 0.000 0.500 1
N1 0.500 0.500 0.000 1



Record 6
# Li2CuReN, optimized geometry, DFT PBE
# * electronic total energy: -5.796 eV per atom
# * ΔE_f (raw): -0.28 eV per formula unit
# * total magnetic moment: 0.00 μB per formula unit
data_Li2CuReN
_chemical_formula_sum 'Li2 Cu1 Re1 N1'
_cell_length_a 3.842
_cell_length_b 3.842
_cell_length_c 3.926
_cell_angle_alpha 90.00
_cell_angle_beta 90.00
_cell_angle_gamma 90.00
_symmetry_space_group_name_H-M 'P 1'
_symmetry_Int_Tables_number 1
loop_
_symmetry_equiv_pos_as_xyz
'x,y,z'
loop_
_atom_site_label
_atom_site_fract_x
_atom_site_fract_y
_atom_site_fract_z
_atom_site_occupancy
Li1 0.000 0.500 0.000 1
Li2 0.500 0.000 0.000 1
Cu1 0.000 0.000 0.500 1
Re1 0.500 0.500 0.500 1
N1 0.500 0.500 0.000 1



Record 7
# LiCuRh2N, optimized geometry, DFT PBE
# * electronic total energy: -5.862 eV per atom
# * energy above the most stable polymorph in this dataset: 0 kJ/mol of formula units
# * ΔE_f (raw): -0.27 eV per formula unit
# * total magnetic moment: 0.00 μB per formula unit
data_LiCuRh2N
_chemical_formula_sum 'Li1 Cu1 Rh2 N1'
_cell_length_a 3.946
_cell_length_b 3.946
_cell_length_c 3.987
_cell_angle_alpha 90.00
_cell_angle_beta 90.00
_cell_angle_gamma 90.00
_symmetry_space_group_name_H-M 'P 1'
_symmetry_Int_Tables_number 1
loop_
_symmetry_equiv_pos_as_xyz
'x,y,z'
loop_
_atom_site_label
_atom_site_fract_x
_atom_site_fract_y
_atom_site_fract_z
_atom_site_occupancy
Li1 0.000 0.000 0.000 1
Cu1 0.500 0.500 0.000 1
Rh1 0.000 0.500 0.500 1
Rh2 0.500 0.000 0.500 1
N1 0.000 0.000 0.500 1



Record 8
# Li2CuRhN, optimized geometry, DFT PBE
# * electronic total energy: -4.872 eV per atom
# * ΔE_f (raw): -0.76 eV per formula unit
# * total magnetic moment: 0.00 μB per formula unit
data_Li2CuRhN
_chemical_formula_sum 'Li2 Cu1 Rh1 N1'
_cell_length_a 3.944
_cell_length_b 3.944
_cell_length_c 3.832
_cell_angle_alpha 90.00
_cell_angle_beta 90.00
_cell_angle_gamma 90.00
_symmetry_space_group_name_H-M 'P 1'
_symmetry_Int_Tables_number 1
loop_
_symmetry_equiv_pos_as_xyz
'x,y,z'
loop_
_atom_site_label
_atom_site_fract_x
_atom_site_fract_y
_atom_site_fract_z
_atom_site_occupancy
Li1 0.000 0.500 0.000 1
Li2 0.500 0.000 0.000 1
Cu1 0.000 0.000 0.500 1
Rh1 0.500 0.500 0.500 1
N1 0.500 0.500 0.000 1



Record 9
# LiCuRh2N, optimized geometry, DFT PBE
# * electronic total energy: -5.796 eV per atom
# * energy above the most stable polymorph in this dataset: 32 kJ/mol of formula units
# * ΔE_f (raw): 0.06 eV per formula unit
# * total magnetic moment: 0.00 μB per formula unit
data_LiCuRh2N
_chemical_formula_sum 'Li1 Cu1 Rh2 N1'
_cell_length_a 4.011
_cell_length_b 4.011
_cell_length_c 3.927
_cell_angle_alpha 90.00
_cell_angle_beta 90.00
_cell_angle_gamma 90.00
_symmetry_space_group_name_H-M 'P 1'
_symmetry_Int_Tables_number 1
loop_
_symmetry_equiv_pos_as_xyz
'x,y,z'
loop_
_atom_site_label
_atom_site_fract_x
_atom_site_fract_y
_atom_site_fract_z
_atom_site_occupancy
Li1 0.000 0.000 0.000 1
Cu1 0.500 0.500 0.000 1
Rh1 0.000 0.500 0.500 1
Rh2 0.500 0.000 0.500 1
N1 0.500 0.500 0.500 1



Record 10
# LiCuRu2N, optimized geometry, DFT PBE
# * electronic total energy: -6.492 eV per atom
# * ΔE_f (raw): 0.43 eV per formula unit
# * total magnetic moment: 0.60 μB per formula unit
data_LiCuRu2N
_chemical_formula_sum 'Li1 Cu1 Ru2 N1'
_cell_length_a 3.932
_cell_length_b 3.932
_cell_length_c 3.926
_cell_angle_alpha 90.00
_cell_angle_beta 90.00
_cell_angle_gamma 90.00
_symmetry_space_group_name_H-M 'P 1'
_symmetry_Int_Tables_number 1
loop_
_symmetry_equiv_pos_as_xyz
'x,y,z'
loop_
_atom_site_label
_atom_site_fract_x
_atom_site_fract_y
_atom_site_fract_z
_atom_site_occupancy
Li1 0.000 0.000 0.000 1
Cu1 0.500 0.500 0.000 1
Ru1 0.000 0.500 0.500 1
Ru2 0.500 0.000 0.500 1
N1 0.000 0.000 0.500 1



Record 11
# LiSc2CuN, optimized geometry, DFT PBE
# * electronic total energy: -6.083 eV per atom
# * ΔE_f (raw): -3.42 eV per formula unit
# * total magnetic moment: 0.00 μB per formula unit
data_LiSc2CuN
_chemical_formula_sum 'Li1 Sc2 Cu1 N1'
_cell_length_a 4.375
_cell_length_b 4.375
_cell_length_c 3.914
_cell_angle_alpha 90.00
_cell_angle_beta 90.00
_cell_angle_gamma 90.00
_symmetry_space_group_name_H-M 'P 1'
_symmetry_Int_Tables_number 1
loop_
_symmetry_equiv_pos_as_xyz
'x,y,z'
loop_
_atom_site_label
_atom_site_fract_x
_atom_site_fract_y
_atom_site_fract_z
_atom_site_occupancy
Li1 0.000 0.000 0.000 1
Sc1 0.000 0.500 0.500 1
Sc2 0.500 0.000 0.500 1
Cu1 0.500 0.500 0.000 1
N1 0.000 0.000 0.500 1



Record 12
# LiCuSeN2, optimized geometry, DFT PBE
# * electronic total energy: -3.556 eV per atom
# * energy above the most stable polymorph in this dataset: 265 kJ/mol of formula units
# * ΔE_f (raw): 8.37 eV per formula unit
# * total magnetic moment: 0.00 μB per formula unit
data_LiCuSeN2
_chemical_formula_sum 'Li1 Cu1 Se1 N2'
_cell_length_a 3.612
_cell_length_b 3.612
_cell_length_c 4.796
_cell_angle_alpha 90.00
_cell_angle_beta 90.00
_cell_angle_gamma 90.00
_symmetry_space_group_name_H-M 'P 1'
_symmetry_Int_Tables_number 1
loop_
_symmetry_equiv_pos_as_xyz
'x,y,z'
loop_
_atom_site_label
_atom_site_fract_x
_atom_site_fract_y
_atom_site_fract_z
_atom_site_occupancy
Li1 0.000 0.000 0.000 1
Cu1 0.500 0.500 0.500 1
Se1 0.000 0.000 0.500 1
N1 0.000 0.500 0.000 1
N2 0.500 0.000 0.000 1



Repeat the seventh record exactly.
# LiCuRh2N, optimized geometry, DFT PBE
# * electronic total energy: -5.862 eV per atom
# * energy above the most stable polymorph in this dataset: 0 kJ/mol of formula units
# * ΔE_f (raw): -0.27 eV per formula unit
# * total magnetic moment: 0.00 μB per formula unit
data_LiCuRh2N
_chemical_formula_sum 'Li1 Cu1 Rh2 N1'
_cell_length_a 3.946
_cell_length_b 3.946
_cell_length_c 3.987
_cell_angle_alpha 90.00
_cell_angle_beta 90.00
_cell_angle_gamma 90.00
_symmetry_space_group_name_H-M 'P 1'
_symmetry_Int_Tables_number 1
loop_
_symmetry_equiv_pos_as_xyz
'x,y,z'
loop_
_atom_site_label
_atom_site_fract_x
_atom_site_fract_y
_atom_site_fract_z
_atom_site_occupancy
Li1 0.000 0.000 0.000 1
Cu1 0.500 0.500 0.000 1
Rh1 0.000 0.500 0.500 1
Rh2 0.500 0.000 0.500 1
N1 0.000 0.000 0.500 1



Q: What is the formula in the fifth record?
A: LiCuPb2N